[1]
Here is crystalline Bi2AuO5 at its relaxed geometry from the Alexandria database. Energies are from GGA-PBEsol.

Cell: 5.7601 8.6255 8.6255 Å, 90.00 90.00 90.00°
Sites, in units of the cell vectors:
1 O 0.6139 0.0813 0.2859
2 Bi 0.2500 0.8515 0.8515
3 O 0.1139 0.9187 0.2859
4 Au 0.5997 0.0000 0.5000
5 O 0.6139 0.9187 0.7141
6 O 0.3861 0.4187 0.2141
7 O 0.3861 0.2859 0.9187
8 Bi 0.7500 0.1485 0.8515
9 O 0.3861 0.5813 0.7859
10 O 0.0000 0.0000 0.0000
11 O 0.8861 0.7141 0.9187
12 Au 0.4003 0.5000 0.0000
13 Bi 0.2500 0.1485 0.1485
14 O 0.1139 0.2141 0.4187
15 O 0.6139 0.2141 0.5813
16 Bi 0.2500 0.3515 0.6485
17 Bi 0.7500 0.8515 0.1485
18 O 0.8861 0.4187 0.7859
19 O 0.5000 0.5000 0.5000
20 O 0.1139 0.7859 0.5813
21 Au 0.9003 0.5000 0.0000
22 Bi 0.7500 0.6485 0.6485
23 O 0.8861 0.2859 0.0813
24 Au 0.0997 0.0000 0.5000
25 O 0.1139 0.0813 0.7141
26 O 0.8861 0.5813 0.2141
27 O 0.5000 0.0000 0.0000
28 O 0.0000 0.5000 0.5000
29 O 0.3861 0.7141 0.0813
30 Bi 0.2500 0.6485 0.3515
31 Bi 0.7500 0.3515 0.3515
32 O 0.6139 0.7859 0.4187

Calculated values
Formation energy (no corrections) ... -877 meV/atom
Space group ... P4/ncc
ρ ... 10.77 g cm⁻³
Total energy ... -183.04 eV per cell

[2]
Here is crystalline CaZrNi3 at its relaxed geometry from the Alexandria database. Energies are from GGA-PBEsol.

Cell: 4.6252 4.6252 4.6252 Å, 90.00 90.00 90.00°
Sites, in units of the cell vectors:
1 Ni 0.0000 0.5000 0.0000
2 Zr 0.0000 0.0000 0.0000
3 Ni 0.0000 0.0000 0.5000
4 Ni 0.5000 0.0000 0.0000
5 Ca 0.5000 0.5000 0.5000

Calculated values
Space group ... Pm-3m
ρ ... 5.16 g cm⁻³
Energy of formation ... 0.550 eV per atom
Total energy ... -26.94 eV per cell

[3]
Here is crystalline CoAs2O6 at its relaxed geometry from the Alexandria database. Energies are from GGA-PBEsol.

Cell: 4.4232 4.8101 4.8101 Å, 120.00 90.00 90.00°
Last column: magnetic moment on the atom in μB.
Sites, in units of the cell vectors:
1 O 0.2697 0.6416 0.0000  0.05
2 As 0.5000 0.6667 0.3333  0.01
3 O 0.7303 0.6416 0.6416  0.05
4 O 0.7303 0.0000 0.3584  0.05
5 O 0.2697 0.0000 0.6416  0.05
6 Co 0.0000 0.0000 0.0000  2.61
7 O 0.2697 0.3584 0.3584  0.05
8 As 0.5000 0.3333 0.6667  0.01
9 O 0.7303 0.3584 0.0000  0.05

Calculated values
Formation energy (no corrections) ... -1097 meV/atom
Space group ... P-31m
ρ ... 5.71 g cm⁻³
Total energy ... -59.32 eV per cell

Repeat the third record exactly.
Here is crystalline CoAs2O6 at its relaxed geometry from the Alexandria database. Energies are from GGA-PBEsol.

Cell: 4.4232 4.8101 4.8101 Å, 120.00 90.00 90.00°
Last column: magnetic moment on the atom in μB.
Sites, in units of the cell vectors:
1 O 0.2697 0.6416 0.0000  0.05
2 As 0.5000 0.6667 0.3333  0.01
3 O 0.7303 0.6416 0.6416  0.05
4 O 0.7303 0.0000 0.3584  0.05
5 O 0.2697 0.0000 0.6416  0.05
6 Co 0.0000 0.0000 0.0000  2.61
7 O 0.2697 0.3584 0.3584  0.05
8 As 0.5000 0.3333 0.6667  0.01
9 O 0.7303 0.3584 0.0000  0.05

Calculated values
Formation energy (no corrections) ... -1097 meV/atom
Space group ... P-31m
ρ ... 5.71 g cm⁻³
Total energy ... -59.32 eV per cell